Compound: TlCoPtC2
Source: the Alexandria database
Functional: PBE
Structure: relaxed

Structure (CIF):
```
data_TlCoPtC2
_chemical_formula_sum 'Tl1 Co1 Pt1 C2'
_cell_length_a 4.262
_cell_length_b 4.262
_cell_length_c 5.206
_cell_angle_alpha 90.00
_cell_angle_beta 90.00
_cell_angle_gamma 90.00
_symmetry_space_group_name_H-M 'P 1'
_symmetry_Int_Tables_number 1
loop_
_symmetry_equiv_pos_as_xyz
'x,y,z'
loop_
_atom_site_label
_atom_site_type_symbol
_atom_site_fract_x
_atom_site_fract_y
_atom_site_fract_z
_atom_site_occupancy
Tl1 Tl 0.000 0.000 0.000 1
Co1 Co 0.500 0.500 0.500 1
Pt1 Pt 0.000 0.000 0.500 1
C1 C 0.000 0.500 0.000 1
C2 C 0.500 0.000 0.000 1
```

total magnetic moment = 0.07 μB/f.u.
mass density = 8.47 g/cm3
formation enthalpy at 0 K = 3.221 eV per atom
V = 95 Å³ per cell
SG = No. 123

***

Compound: Zn3SnRu
Source: the Alexandria database
Functional: PBE
Structure: relaxed

Structure (CIF):
```
data_Zn3SnRu
_chemical_formula_sum 'Zn3 Sn1 Ru1'
_cell_length_a 4.792
_cell_length_b 4.792
_cell_length_c 4.792
_cell_angle_alpha 90.00
_cell_angle_beta 90.00
_cell_angle_gamma 90.00
_symmetry_space_group_name_H-M 'P 1'
_symmetry_Int_Tables_number 1
loop_
_symmetry_equiv_pos_as_xyz
'x,y,z'
loop_
_atom_site_label
_atom_site_type_symbol
_atom_site_fract_x
_atom_site_fract_y
_atom_site_fract_z
_atom_site_occupancy
Zn1 Zn 0.000 0.000 0.500 1
Zn2 Zn 0.000 0.500 0.000 1
Zn3 Zn 0.500 0.000 0.000 1
Sn1 Sn 0.500 0.500 0.500 1
Ru1 Ru 0.000 0.000 0.000 1
```

total magnetic moment = 0.00 μB/f.u.
polymorph energy (0 for the lowest one) = 0.000 eV per atom
mass density = 6.28 g/cm3
formation enthalpy at 0 K = 0.423 eV per atom
V = 110 Å³ per cell
SG = No. 221

***

Compound: SmZn2Cu
Source: the Alexandria database
Functional: PBE
Structure: relaxed

Structure (CIF):
```
data_SmZn2Cu
_chemical_formula_sum 'Sm1 Zn2 Cu1'
_cell_length_a 3.212
_cell_length_b 3.212
_cell_length_c 7.045
_cell_angle_alpha 90.00
_cell_angle_beta 90.00
_cell_angle_gamma 90.00
_symmetry_space_group_name_H-M 'P 1'
_symmetry_Int_Tables_number 1
loop_
_symmetry_equiv_pos_as_xyz
'x,y,z'
loop_
_atom_site_label
_atom_site_type_symbol
_atom_site_fract_x
_atom_site_fract_y
_atom_site_fract_z
_atom_site_occupancy
Sm1 Sm 0.000 0.000 0.000 1
Zn1 Zn 0.500 0.500 0.309 1
Zn2 Zn 0.500 0.500 0.691 1
Cu1 Cu 0.000 0.000 0.500 1
```

total magnetic moment = 0.00 μB/f.u.
mass density = 7.88 g/cm3
formation enthalpy at 0 K = -0.128 eV per atom
V = 73 Å³ per cell
SG = No. 123

***

Compound: La4ZrFe
Source: the Alexandria database
Functional: PBE
Structure: relaxed

Structure (CIF):
```
data_La4ZrFe
_chemical_formula_sum 'La4 Zr1 Fe1'
_cell_length_a 6.383
_cell_length_b 6.383
_cell_length_c 6.383
_cell_angle_alpha 60.00
_cell_angle_beta 60.00
_cell_angle_gamma 60.00
_symmetry_space_group_name_H-M 'P 1'
_symmetry_Int_Tables_number 1
loop_
_symmetry_equiv_pos_as_xyz
'x,y,z'
loop_
_atom_site_label
_atom_site_type_symbol
_atom_site_fract_x
_atom_site_fract_y
_atom_site_fract_z
_atom_site_occupancy
La1 La 0.125 0.125 0.125 1
La2 La 0.125 0.125 0.625 1
La3 La 0.125 0.625 0.125 1
La4 La 0.625 0.125 0.125 1
Zr1 Zr 0.750 0.750 0.750 1
Fe1 Fe 0.500 0.500 0.500 1
```

total magnetic moment = 1.38 μB/f.u.
mass density = 6.35 g/cm3
formation enthalpy at 0 K = 0.818 eV per atom
V = 184 Å³ per cell
SG = No. 216